First-principles (PBE-GGA) data for a geometry-optimized Ti4MnFe structure, as listed in the Alexandria database.

Output
ΔE_f, eV per atom: -0.18
Fermi-level density of states, states/eV/cell: 10.382
Energy, eV per atom: -8.39
SG: No. 123
Crystal system: tetragonal

abc: 3.008 3.008 9.517
angles: 90.00 90.00 90.00
Sites, in units of the cell vectors:
Ti 0.000 0.000 0.150
Ti 0.000 0.000 0.850
Ti 0.500 0.500 0.349
Ti 0.500 0.500 0.651
Mn 0.500 0.500 0.000
Fe 0.000 0.000 0.500